# 1
This record from Alexandria via LeMat-Bulk describes a relaxed structure of Na3La2CeS6. The functional is PBE-GGA.

Unit cell a=7.284 b=12.617 c=7.081 alpha=90.00 beta=110.06 gamma=90.00
Space group C2/m (No. 12)
Symmetry-distinct sites (fractional):
Na 0.000 0.000 0.000 x2
Na 0.000 0.334 0.000 x4
La 0.000 0.167 0.500 x4
Ce 0.000 0.500 0.500 x2
S 0.243 0.335 0.734 x8
S 0.248 0.000 0.733 x4

Output
The calculation puts the energy at -5.52 eV/atom. For the calculated volume, the calculation gives 25.5 Å³ per atom. The magnetic moment is 1.02 μB per formula unit.

=====

# 2
This record from Alexandria via LeMat-Bulk describes a relaxed structure of Na4La3CeS8. The functional is PBE-GGA.

Unit cell a=8.4253 b=8.4253 c=19.9580 alpha=90.00 beta=90.00 gamma=120.00
Space group R-3m (No. 166, hexagonal axes)
Symmetry-distinct sites (fractional):
Na 0.0000 0.0000 0.0000 x3
Na 0.0000 0.5000 0.0000 x9
La 0.0000 0.5000 0.5000 x9
Ce 0.0000 0.0000 0.5000 x3
S 0.0000 0.0000 0.2449 x6
S 0.0034 0.5017 0.2445 x18

Output
The calculation puts the energy at -5.51 eV/atom. For the calculated volume, the calculation gives 25.6 Å³ per atom. The magnetic moment is 1.02 μB per formula unit.